Compound: NdYCo10
Source: the Alexandria database
Functional: PBE-GGA
Structure: optimized geometry

Cell: 3.9417 4.9665 8.6265 Å, 90.00 90.00 90.00°
Space group Pmmm (No. 47)
Symmetry-distinct sites (fractional):
Nd 0.0000 0.0000 0.0000
Y 0.0000 0.5000 0.5000
Co 0.0000 0.0000 0.3364
Co 0.0000 0.5000 0.1717
Co 0.5000 0.0000 0.5000
Co 0.5000 0.2532 0.2542
Co 0.5000 0.5000 0.0000

Properties
Final energy (eV/atom): -6.93
Magnetic moment (μB/f.u.): 14.19